Tb4PrAl4 | GGA-PBE | relaxed

Properties
D(E_F)   15.6 states/eV/cell
Total magnetic moment   0.0 μB/f.u.

abc: 9.8745 9.8745 5.1535
angles: 90.00 90.00 90.00
Last column: nearest neighbours and their distance in Å.
Space group I4/m (No. 87)
One atom of each set of equivalent atoms:
Tb1 0.1117 0.3521 0.0000 x8  4 Al 3.05-3.12
Pr1 0.0000 0.0000 0.0000 x2  8 Al 3.20
Al1 0.0768 0.1770 0.5000 x8  2 Al 2.70

Tb4Pr2Al | GGA-PBE | relaxed

Properties
D(E_F)   31.0 states/eV/cell
Total magnetic moment   0.0 μB/f.u.

abc: 3.6352 3.6352 58.2256
angles: 90.00 90.00 120.00
Last column: nearest neighbours and their distance in Å.
Space group R-3m (No. 166, hexagonal axes)
One atom of each set of equivalent atoms:
Tb1 0.0000 0.0000 0.0888 x6  9 Tb 3.61-3.64, 3 Pr 3.62
Tb2 0.0000 0.0000 0.2949 x6  3 Al 3.07
Pr1 0.0000 0.0000 0.1940 x6  3 Tb 3.62, 9 Pr 3.64-3.81
Al1 0.0000 0.0000 0.0000 x3  6 Tb 3.07

TbPr3Al4 | GGA-PBE | relaxed

Properties
D(E_F)   3.7 states/eV/cell
Total magnetic moment   0.0 μB/f.u.

abc: 3.7231 3.7231 14.9087
angles: 90.00 90.00 90.00
Last column: nearest neighbours and their distance in Å.
Space group P4/mmm (No. 123)
One atom of each set of equivalent atoms:
Tb1 0.0000 0.0000 0.0000 x1  8 Al 3.14
Pr1 0.0000 0.0000 0.2447 x2  8 Al 3.25-3.27
Pr2 0.0000 0.0000 0.5000 x1  8 Al 3.25
Al1 0.5000 0.5000 0.1143 x2  4 Tb 3.14, 4 Pr 3.27, 1 Al 3.41
Al2 0.5000 0.5000 0.3725 x2  8 Pr 3.25

Tb3PrAl2 | GGA-PBE | relaxed

Properties
D(E_F)   5.0 states/eV/cell
Total magnetic moment   0.0 μB/f.u.
Excess energy over the best structure of this formula in the dataset   0.000 eV per atom

abc: 3.5772 3.5772 12.7396
angles: 90.00 90.00 90.00
Last column: nearest neighbours and their distance in Å.
Space group P4/mmm (No. 123)
One atom of each set of equivalent atoms:
Tb1 0.0000 0.0000 0.0000 x1  8 Al 3.15
Tb2 0.0000 0.0000 0.2916 x2  4 Al 3.13
Pr1 0.5000 0.5000 0.5000 x1  4 Pr 3.58, 8 Tb 3.67
Al1 0.5000 0.5000 0.1475 x2  8 Tb 3.13-3.15

Tb5PrAl2 | GGA-PBE | relaxed

Properties
D(E_F)   24.3 states/eV/cell
Total magnetic moment   0.0 μB/f.u.

abc: 3.6207 10.2825 12.4940
angles: 90.00 90.00 90.00
Last column: nearest neighbours and their distance in Å.
Space group Immm (No. 71)
One atom of each set of equivalent atoms:
Tb1 0.0000 0.0000 0.0000 x2  2 Al 3.25, 10 Tb 3.40-3.62
Tb2 0.0000 0.2774 0.3611 x8  3 Al 3.12-3.29, 5 Tb 3.36-3.47
Pr1 0.0000 0.5000 0.0000 x2  4 Al 3.50, 2 Pr 3.62, 8 Tb 3.80
Al1 0.0000 0.0000 0.2604 x4  7 Tb 3.12-3.29

TbPr2Al | GGA-PBE | relaxed

Properties
D(E_F)   15.8 states/eV/cell
Total magnetic moment   0.0 μB/f.u.
Excess energy over the best structure of this formula in the dataset   0.000 eV per atom

abc: 5.3845 7.0689 12.3113
angles: 90.00 90.00 90.00
Last column: nearest neighbours and their distance in Å.
Space group Amm2 (No. 38)
One atom of each set of equivalent atoms:
Tb1 0.0000 0.2330 0.0000 x4  4 Al 3.29-3.58, 1 Tb 3.29, 5 Pr 3.33-3.47
Pr1 0.0000 0.0000 0.2349 x2  2 Tb 3.33, 4 Al 3.34-3.54, 4 Pr 3.47
Pr2 0.5000 0.0000 0.5909 x2  4 Al 3.31-3.54, 2 Pr 3.31, 4 Tb 3.47
Pr3 0.5000 0.2317 0.8249 x4  4 Pr 3.28-3.47, 4 Al 3.29-3.62, 2 Tb 3.45
Al1 0.0000 0.0000 0.7471 x2  8 Pr 3.29-3.54, 4 Tb 3.52-3.58
Al2 0.5000 0.0000 0.0746 x2  4 Tb 3.29, 8 Pr 3.34-3.62

Tb4PrAl | GGA-PBE | relaxed

Properties
D(E_F)   30.8 states/eV/cell
Total magnetic moment   0.0 μB/f.u.
Excess energy over the best structure of this formula in the dataset   0.069 eV per atom

abc: 8.8660 13.9388 6.2619
angles: 90.00 109.21 90.00
Last column: nearest neighbours and their distance in Å.
Space group C2/c (No. 15)
One atom of each set of equivalent atoms:
Tb1 0.1010 0.1819 0.0486 x8  2 Al 3.09-3.11, 1 Tb 3.32
Tb2 0.2222 0.3886 0.3714 x8  2 Al 3.20-3.21, 2 Tb 3.32-3.48, 2 Pr 3.46-3.55
Pr1 0.0000 0.4022 0.7500 x4  10 Tb 3.46-3.74
Al1 0.0000 0.0006 0.2500 x4  8 Tb 3.09-3.21, 2 Al 3.13

Tb5PrAl6 | GGA-PBE | relaxed

Properties
D(E_F)   8.9 states/eV/cell
Total magnetic moment   0.0 μB/f.u.

abc: 5.1369 15.4241 7.3036
angles: 90.00 90.00 90.00
Last column: nearest neighbours and their distance in Å.
Space group Cmmm (No. 65)
One atom of each set of equivalent atoms:
Tb1 0.0000 0.0000 0.0000 x2  8 Al 3.13-3.17
Tb2 0.0000 0.3324 0.5000 x4  8 Al 3.13-3.18
Tb3 0.0000 0.3360 0.0000 x4  8 Al 3.10-3.13
Pr1 0.0000 0.0000 0.5000 x2  8 Al 3.17-3.22
Al1 0.0000 0.1697 0.2441 x8  7 Tb 3.12-3.18, 1 Pr 3.22
Al2 0.0000 0.5000 0.2456 x4  6 Tb 3.10-3.18, 2 Pr 3.17

Tb8Pr2Al | GGA-PBE | relaxed

Properties
D(E_F)   31.0 states/eV/cell
Total magnetic moment   0.0 μB/f.u.
Excess energy over the best structure of this formula in the dataset   0.000 eV per atom

abc: 19.4133 5.5265 6.5064
angles: 90.00 94.05 90.00
Last column: nearest neighbours and their distance in Å.
Space group C2/m (No. 12)
One atom of each set of equivalent atoms:
Tb1 0.0410 0.0000 0.2542 x4  2 Al 3.29, 4 Tb 3.57-3.67
Tb2 0.0769 0.5000 0.6053 x4  1 Al 3.06, 3 Tb 3.20-3.37
Tb3 0.1524 0.0000 0.8146 x4  7 Tb 3.37-3.75, 4 Pr 3.60-3.70
Tb4 0.1559 0.5000 0.1218 x4  1 Al 3.07, 2 Tb 3.41
Pr1 0.2424 0.0000 0.3323 x4  8 Tb 3.46-3.70, 2 Pr 3.52
Al1 0.0000 0.5000 0.0000 x2  8 Tb 3.06-3.29

Tb8Pr2Al | GGA-PBE | relaxed

Properties
D(E_F)   30.2 states/eV/cell
Total magnetic moment   0.0 μB/f.u.
Excess energy over the best structure of this formula in the dataset   0.052 eV per atom

abc: 18.8486 5.4648 7.5386
angles: 90.00 113.53 90.00
Last column: nearest neighbours and their distance in Å.
Space group C2/m (No. 12)
One atom of each set of equivalent atoms:
Tb1 0.9999 0.0000 0.2435 x4  2 Al 3.29, 7 Tb 3.56-3.67
Tb2 0.1318 0.5000 0.3958 x4  1 Al 3.03
Tb3 0.1322 0.5000 0.8688 x4  1 Al 3.03
Tb4 0.1796 0.0000 0.1800 x4  8 Tb 3.48-3.71, 4 Pr 3.51-3.78
Pr1 0.1926 0.0000 0.6927 x4  10 Tb 3.43-3.78
Al1 0.0000 0.5000 0.0000 x2  8 Tb 3.03-3.29

TbPrAl6 | GGA-PBE | relaxed

Properties
D(E_F)   3.1 states/eV/cell
Total magnetic moment   0.0 μB/f.u.

abc: 6.4124 6.4124 4.6555
angles: 90.00 90.00 120.00
Last column: nearest neighbours and their distance in Å.
Space group P-6m2 (No. 187)
One atom of each set of equivalent atoms:
Tb1 0.0000 0.0000 0.0000 x1  12 Al 3.14-3.22
Pr1 0.3333 0.6667 0.5000 x1  12 Al 3.16-3.22
Al1 0.3785 0.1893 0.5000 x3  6 Al 2.77-2.82
Al2 0.5252 0.0505 0.0000 x3  6 Al 2.72-2.82

Tb3Pr2Al | GGA-PBE | relaxed

Properties
D(E_F)   15.1 states/eV/cell
Total magnetic moment   0.0 μB/f.u.

abc: 4.8625 15.1945 4.9107
angles: 90.00 90.00 90.00
Last column: nearest neighbours and their distance in Å.
Space group Cmmm (No. 65)
One atom of each set of equivalent atoms:
Tb1 0.0000 0.0000 0.0000 x2  4 Tb 3.44, 4 Pr 3.44, 4 Al 3.46
Tb2 0.0000 0.3396 0.0000 x4  4 Tb 3.44-3.65, 6 Pr 3.46-3.68, 2 Al 3.46
Pr1 0.0000 0.1589 0.5000 x4  2 Al 3.43, 8 Tb 3.44-3.68, 2 Pr 3.68
Al1 0.0000 0.5000 0.5000 x2  4 Pr 3.43, 8 Tb 3.46

| no. | raw total energy (eV/atom) | energy relative to the elements (eV/f.u.) |
| --- | --- | --- |
| 1 | -4.415 | -1.47 |
| 2 | -4.569 | -0.16 |
| 3 | -4.595 | -2.82 |
| 4 | -4.612 | -1.52 |
| 5 | -4.520 | -0.74 |
| 6 | -4.655 | -0.69 |
| 7 | -4.550 | -0.26 |
| 8 | -4.583 | -4.61 |
| 9 | -4.603 | -0.29 |
| 10 | -4.551 | 0.29 |
| 11 | -4.417 | -3.47 |
| 12 | -4.605 | -0.44 |